No. 1
The following is a DFT calculation (PBE) of crystalline Ta2Ti5Fe2Au at its relaxed geometry.

Values from the calculation:
size of the total moment	0.0	μB/f.u.
symmetry	P4/mbm
formation enthalpy at 0 K	-134	meV per atom

Structure (POSCAR):
```
Ta2Ti5Fe2Au
1.0
-1.521 0.061 2.605
-7.626 -5.548 -4.323
4.702 -8.764 2.952
Fe Ti Au Ta
4 10 2 4
Direct
0.000 0.130 0.630
0.000 0.870 0.370
0.000 0.630 0.870
0.000 0.370 0.130
0.500 0.939 0.213
0.500 0.000 0.500
0.500 0.713 0.439
0.500 0.787 0.939
0.500 0.561 0.713
0.500 0.061 0.787
0.500 0.500 0.000
0.500 0.287 0.561
0.500 0.213 0.061
0.500 0.439 0.287
0.000 0.000 0.000
0.000 0.500 0.500
0.000 0.325 0.825
0.000 0.175 0.325
0.000 0.675 0.175
0.000 0.825 0.675
```

***

No. 2
The following is a DFT calculation (PBE) of crystalline YTaFeAu2 at its relaxed geometry.

Values from the calculation:
size of the total moment	0.0	μB/f.u.
symmetry	P4/mmm
formation enthalpy at 0 K	282	meV per atom

Structure (POSCAR):
```
YTaFeAu2
1.0
4.947 0.000 0.000
0.000 4.325 0.000
0.000 0.000 4.947
Au Y Ta Fe
2 1 1 1
Direct
0.500 0.000 0.000
0.000 0.000 0.500
0.500 0.500 0.500
0.000 0.500 0.000
0.000 0.000 0.000
```

***

No. 3
The following is a DFT calculation (PBE) of crystalline Tb4FeAu at its relaxed geometry.

Values from the calculation:
size of the total moment	0.0	μB/f.u.
symmetry	C2/c
formation enthalpy at 0 K	-276	meV per atom

Structure (POSCAR):
```
Tb4FeAu
1.0
-3.289 2.717 -4.411
-2.314 -7.517 0.088
-1.894 3.694 6.681
Fe Tb Au
2 8 2
Direct
0.750 0.999 0.001
0.250 0.001 0.999
0.686 0.215 0.349
0.186 0.349 0.215
0.082 0.941 0.288
0.314 0.785 0.651
0.418 0.712 0.059
0.918 0.059 0.712
0.814 0.651 0.785
0.582 0.288 0.941
0.250 0.370 0.630
0.750 0.630 0.370
```

***

No. 4
The following is a DFT calculation (PBE) of crystalline Tb3FeAu at its relaxed geometry.

Values from the calculation:
size of the total moment	0.8	μB/f.u.
symmetry	P2_1/m
formation enthalpy at 0 K	-353	meV per atom

Structure (POSCAR):
```
Tb3FeAu
1.0
-0.259 -0.936 -3.738
7.324 3.568 -1.402
1.041 -7.904 1.907
Tb Au Fe
6 2 2
Direct
0.250 0.066 0.689
0.250 0.773 0.935
0.750 0.412 0.660
0.750 0.934 0.311
0.250 0.588 0.340
0.750 0.227 0.065
0.250 0.217 0.355
0.750 0.783 0.645
0.750 0.568 0.052
0.250 0.432 0.948
```

***

No. 5
The following is a DFT calculation (PBE) of crystalline TbFe4Au at its relaxed geometry.

Values from the calculation:
size of the total moment	9.6	μB/f.u.
symmetry	F-43m
formation enthalpy at 0 K	-83	meV per atom

Structure (POSCAR):
```
TbFe4Au
1.0
-0.176 -3.321 -3.787
-2.820 -4.156 0.422
-4.205 -0.481 -2.737
Fe Tb Au
4 1 1
Direct
0.625 0.125 0.625
0.625 0.625 0.625
0.625 0.625 0.125
0.125 0.625 0.625
0.000 0.000 0.000
0.250 0.250 0.250
```

***

No. 6
The following is a DFT calculation (PBE) of crystalline Tb2FeAu at its relaxed geometry.

Values from the calculation:
size of the total moment	0.0	μB/f.u.
symmetry	P4/mmm
formation enthalpy at 0 K	-328	meV per atom

Structure (POSCAR):
```
Tb2FeAu
1.0
-0.020 -2.837 1.861
3.356 -0.290 -0.405
1.074 3.965 6.059
Au Tb Fe
1 2 1
Direct
0.500 0.500 0.500
0.000 0.000 0.225
0.000 0.000 0.775
0.500 0.500 0.000
```

***

No. 7
The following is a DFT calculation (PBE) of crystalline Tb6Fe2Au at its relaxed geometry.

Values from the calculation:
size of the total moment	0.9	μB/f.u.
symmetry	Immm
formation enthalpy at 0 K	-203	meV per atom

Structure (POSCAR):
```
Tb6Fe2Au
1.0
2.426 7.783 -1.703
2.732 -5.366 -5.753
-8.321 -0.354 0.033
Au Tb Fe
2 12 4
Direct
0.000 0.500 0.500
0.000 0.000 0.000
0.708 0.391 0.683
0.210 0.219 0.429
0.522 0.708 0.814
0.210 0.781 0.991
0.478 0.292 0.186
0.292 0.975 0.683
0.708 0.025 0.317
0.292 0.609 0.317
0.106 0.292 0.814
0.790 0.219 0.009
0.790 0.781 0.571
0.894 0.708 0.186
0.387 0.000 0.387
0.613 0.000 0.613
0.500 0.390 0.890
0.500 0.610 0.110
```

***

No. 8
The following is a DFT calculation (PBE) of crystalline Fe2TcAu at its relaxed geometry.

Values from the calculation:
size of the total moment	0.0	μB/f.u.
symmetry	I-42d
formation enthalpy at 0 K	718	meV per atom

Structure (POSCAR):
```
Fe2TcAu
1.0
6.601 0.000 0.000
0.000 6.601 0.000
3.300 3.300 2.706
Au Tc Fe
2 2 4
Direct
0.000 0.000 0.000
0.750 0.250 0.500
0.500 0.500 0.000
0.250 0.750 0.500
0.166 0.625 0.250
0.375 0.416 0.750
0.875 0.834 0.750
0.584 0.125 0.250
```

***

No. 9
The following is a DFT calculation (PBE) of crystalline Fe2TcAu at its relaxed geometry.

Values from the calculation:
size of the total moment	4.8	μB/f.u.
symmetry	P4/mmm
formation enthalpy at 0 K	324	meV per atom

Structure (POSCAR):
```
Fe2TcAu
1.0
3.626 0.000 0.000
0.000 3.910 0.000
0.000 0.000 3.910
Fe Au Tc
2 1 1
Direct
0.000 0.000 0.000
0.000 0.500 0.500
0.500 0.000 0.500
0.500 0.500 0.000
```

***

No. 10
The following is a DFT calculation (PBE) of crystalline Fe2TcAu at its relaxed geometry.

Values from the calculation:
size of the total moment	4.1	μB/f.u.
symmetry	Pmm2
formation enthalpy at 0 K	219	meV per atom

Structure (POSCAR):
```
Fe2TcAu
1.0
3.595 0.000 0.000
0.000 2.726 0.233
0.000 2.238 5.921
Fe Au Tc
2 1 1
Direct
0.500 0.250 0.250
0.000 0.968 0.032
0.500 0.738 0.762
0.000 0.544 0.455
```

***

No. 11
The following is a DFT calculation (PBE) of crystalline Fe2TcAu at its relaxed geometry.

Values from the calculation:
size of the total moment	4.9	μB/f.u.
symmetry	C2/m
formation enthalpy at 0 K	283	meV per atom

Structure (POSCAR):
```
Fe2TcAu
1.0
-3.935 0.205 2.329
-4.567 -0.155 -0.262
-0.558 -4.764 0.798
Au Tc Fe
1 1 2
Direct
0.250 0.250 0.250
0.750 0.750 0.750
0.002 0.002 0.980
0.498 0.498 0.520
```

***

No. 12
The following is a DFT calculation (PBE) of crystalline Fe2TcAu at its relaxed geometry.

Values from the calculation:
size of the total moment	4.2	μB/f.u.
symmetry	Pmmm
formation enthalpy at 0 K	201	meV per atom

Structure (POSCAR):
```
Fe2TcAu
1.0
3.692 0.000 0.000
0.000 2.688 0.484
0.000 1.709 5.960
Fe Au Tc
2 1 1
Direct
0.000 0.967 0.033
0.000 0.533 0.467
0.500 0.750 0.750
0.500 0.250 0.250
```

***

No. 13
The following is a DFT calculation (PBE) of crystalline Fe2TcAu at its relaxed geometry.

Values from the calculation:
size of the total moment	4.4	μB/f.u.
symmetry	P4/mmm
formation enthalpy at 0 K	182	meV per atom

Structure (POSCAR):
```
Fe2TcAu
1.0
2.703 0.000 0.000
0.000 2.703 0.000
0.000 0.000 7.686
Fe Tc Au
2 1 1
Direct
0.000 0.000 0.484
0.000 0.000 0.016
0.500 0.500 0.250
0.500 0.500 0.750
```

***

No. 14
The following is a DFT calculation (PBE) of crystalline Fe2TcAu at its relaxed geometry.

Values from the calculation:
size of the total moment	5.0	μB/f.u.
symmetry	Cmmm
formation enthalpy at 0 K	291	meV per atom

Structure (POSCAR):
```
Fe2TcAu
1.0
4.678 0.023 0.000
-1.444 4.449 0.000
0.000 0.000 2.698
Au Fe Tc
1 2 1
Direct
0.000 0.500 0.500
0.000 0.000 0.000
0.500 0.500 0.000
0.500 0.000 0.500
```

***

No. 15
The following is a DFT calculation (PBE) of crystalline Fe2TcAu at its relaxed geometry.

Values from the calculation:
size of the total moment	4.9	μB/f.u.
symmetry	P4mm
formation enthalpy at 0 K	178	meV per atom

Structure (POSCAR):
```
Fe2TcAu
1.0
2.803 0.000 0.000
0.000 2.803 0.000
0.000 0.000 7.158
Tc Au Fe
1 1 2
Direct
0.000 0.000 0.460
0.500 0.500 0.762
0.500 0.500 0.244
0.000 0.000 0.035
```

***

No. 16
The following is a DFT calculation (PBE) of crystalline Fe2TcAu at its relaxed geometry.

Values from the calculation:
size of the total moment	4.8	μB/f.u.
symmetry	R3m
formation enthalpy at 0 K	265	meV per atom

Structure (POSCAR):
```
Fe2TcAu
1.0
8.752 -0.014 -0.008
8.317 2.723 -0.008
8.317 1.320 2.382
Fe Tc Au
2 1 1
Direct
0.992 0.992 0.992
0.252 0.252 0.252
0.509 0.509 0.509
0.747 0.747 0.747
```

***

No. 17
The following is a DFT calculation (PBE) of crystalline Fe2TcAu at its relaxed geometry.

Values from the calculation:
size of the total moment	3.7	μB/f.u.
symmetry	I-4m2
formation enthalpy at 0 K	296	meV per atom

Structure (POSCAR):
```
Fe2TcAu
1.0
-2.315 3.493 -2.104
-2.751 -1.660 -3.415
0.534 -1.191 4.504
Au Fe Tc
1 2 1
Direct
0.750 0.250 0.500
0.000 0.000 0.000
0.250 0.750 0.500
0.500 0.500 0.000
```

***

No. 18
The following is a DFT calculation (PBE) of crystalline FeTcAu3 at its relaxed geometry.

Values from the calculation:
size of the total moment	7.0	μB/f.u.
symmetry	Pm-3m
formation enthalpy at 0 K	1220	meV per atom

Structure (POSCAR):
```
FeTcAu3
1.0
-3.393 3.350 0.281
-3.358 -3.397 -0.042
0.171 -0.227 4.768
Fe Au Tc
1 3 1
Direct
0.000 0.000 0.000
0.000 0.500 0.000
0.000 0.000 0.500
0.500 0.000 0.000
0.500 0.500 0.500
```

***

No. 19
The following is a DFT calculation (PBE) of crystalline FeTcAu4 at its relaxed geometry.

Values from the calculation:
size of the total moment	0.0	μB/f.u.
symmetry	F-43m
formation enthalpy at 0 K	695	meV per atom

Structure (POSCAR):
```
FeTcAu4
1.0
0.000 3.823 3.823
3.823 0.000 3.823
3.823 3.823 0.000
Tc Au Fe
1 4 1
Direct
0.000 0.000 0.000
0.375 0.875 0.375
0.375 0.375 0.375
0.375 0.375 0.875
0.875 0.375 0.375
0.750 0.750 0.750
```

***

No. 20
The following is a DFT calculation (PBE) of crystalline Fe2TcAu at its relaxed geometry.

Values from the calculation:
size of the total moment	5.6	μB/f.u.
symmetry	Cmmm
formation enthalpy at 0 K	220	meV per atom

Structure (POSCAR):
```
Fe2TcAu
1.0
2.657 0.024 0.000
-0.754 2.548 0.000
0.000 0.000 8.462
Fe Tc Au
2 1 1
Direct
0.000 0.000 0.011
0.000 0.000 0.489
0.500 0.500 0.250
0.500 0.500 0.750
```